TePd2O: optimized geometry, GGA-PBE.

The total energy is -75.09 eV/cell. Its formation energy from raw total energies is -0.07 eV/atom. The polymorph energy (0 for the lowest one) comes out at 0.000 eV/atom.

The space group is I-42d (No. 122) and the conventional cell measures 6.203, 6.203 and 7.467 Å, with angles of 90.00, 90.00 and 90.00 degrees. The distinct sites, in fractional coordinates, are Te at (0.000, 0.000, 0.000), Pd at (0.188, 0.750, 0.625) and O at (0.000, 0.000, 0.500).


Te3PdO: optimized geometry, GGA-PBE.

The total energy is -17.97 eV/cell. Its formation energy from raw total energies is 0.32 eV/atom. The polymorph energy (0 for the lowest one) comes out at 0.000 eV/atom.

The space group is Pm-3m (No. 221) and the conventional cell measures 4.778, 4.778 and 4.778 Å, with angles of 90.00, 90.00 and 90.00 degrees. The distinct sites, in fractional coordinates, are Te at (0.000, 0.000, 0.500), Pd at (0.500, 0.500, 0.500) and O at (0.000, 0.000, 0.000).